*A*
LaIn3Au after structural relaxation. Source: Alexandria, functional PBE.

The structure belongs to space group Pm-3m (No. 221); the cell edges are 5.317, 5.317 and 5.317 Å and the angles 90.00°, 90.00° and 90.00°. The distinct sites, in fractional coordinates, are La at (0.000, 0.000, 0.000), In at (0.000, 0.500, 0.500) and Au at (0.500, 0.500, 0.500).

The density of states at the Fermi level comes out at 3.1 states/eV per cell.

*B*
LaIn3Au after structural relaxation. Source: Alexandria, functional PBE.

The structure belongs to space group Pnma (No. 62); the cell edges are 9.269, 4.676 and 11.896 Å and the angles 90.00°, 90.00° and 90.00°. The distinct sites, in fractional coordinates, are La at (0.197, 0.250, 0.006), In at (0.070, 0.250, 0.596), In at (0.104, 0.750, 0.815), In at (0.133, 0.750, 0.205) and Au at (0.101, 0.250, 0.359).

The density of states at the Fermi level comes out at 7.9 states/eV per cell.

*C*
LaIn3Au after structural relaxation. Source: Alexandria, functional PBE.

The structure belongs to space group Pm-3m (No. 221); the cell edges are 6.114, 6.114 and 6.114 Å and the angles 90.00°, 90.00° and 90.00°. The distinct sites, in fractional coordinates, are La at (0.000, 0.000, 0.000), In at (0.000, 0.000, 0.500) and Au at (0.500, 0.500, 0.500).

The density of states at the Fermi level comes out at 8.0 states/eV per cell.

*D*
LaIn3Au after structural relaxation. Source: Alexandria, functional PBE.

The structure belongs to space group Cm (No. 8); the cell edges are 6.511, 6.521 and 6.940 Å and the angles 90.00°, 117.95° and 90.00°. The distinct sites, in fractional coordinates, are La at (0.000, 0.000, 0.000), In at (0.008, 0.251, 0.517), In at (0.105, 0.500, 0.210) and Au at (0.387, 0.000, 0.778).

The density of states at the Fermi level comes out at 3.3 states/eV per cell.

Taking the most stable structure as the zero point, the relative energies in meV per atom are *A* 412; *B* 26; *C* 1398; *D* 0.

*A*
LaInAu4 after structural relaxation. Source: Alexandria, functional PBE.

The structure belongs to space group P-1 (No. 2); the cell edges are 3.798, 3.809 and 9.319 Å and the angles 86.25°, 87.87° and 89.58°. The distinct sites, in fractional coordinates, are La at (0.000, 0.000, 0.000), In at (0.500, 0.500, 0.500), Au at (0.014, 0.027, 0.657) and Au at (0.485, 0.471, 0.186).

The density of states at the Fermi level comes out at 2.4 states/eV per cell.

*B*
LaInAu4 after structural relaxation. Source: Alexandria, functional PBE.

The structure belongs to space group C2/m (No. 12); the cell edges are 10.610, 7.893 and 6.894 Å and the angles 90.00°, 105.85° and 90.00°. The distinct sites, in fractional coordinates, are La at (0.158, 0.000, 0.258), In at (0.100, 0.500, 0.297), Au at (0.000, 0.241, 0.500), Au at (0.120, 0.311, 0.936) and Au at (0.153, 0.000, 0.765).

The density of states at the Fermi level comes out at 9.9 states/eV per cell.

*C*
LaInAu4 after structural relaxation. Source: Alexandria, functional PBE.

The structure belongs to space group F-43m (No. 216); the cell edges are 8.055, 8.055 and 8.055 Å and the angles 90.00°, 90.00° and 90.00°. The distinct sites, in fractional coordinates, are La at (0.000, 0.000, 0.000), In at (0.250, 0.250, 0.250) and Au at (0.125, 0.125, 0.625).

The density of states at the Fermi level comes out at 6.4 states/eV per cell.

Taking the most stable structure as the zero point, the relative energies in meV per atom are *A* 63; *B* 36; *C* 0.

*A*
La2InAu4 after structural relaxation. Source: Alexandria, functional PBE.

The structure belongs to space group I4/mmm (No. 139); the cell edges are 5.120, 5.120 and 15.691 Å and the angles 90.00°, 90.00° and 90.00°. The distinct sites, in fractional coordinates, are La at (0.000, 0.000, 0.132), In at (0.000, 0.000, 0.500), Au at (0.000, 0.000, 0.319) and Au at (0.000, 0.500, 0.000).

The density of states at the Fermi level comes out at 12.0 states/eV per cell.

*B*
La2InAu4 after structural relaxation. Source: Alexandria, functional PBE.

The structure belongs to space group R-3m (No. 166, hexagonal axes); the cell edges are 4.7118, 4.7118 and 29.0574 Å and the angles 90.00°, 90.00° and 120.00°. The distinct sites, in fractional coordinates, are La at (0.0000, 0.0000, 0.2477), In at (0.0000, 0.0000, 0.0000), Au at (0.0000, 0.0000, 0.1404) and Au at (0.0000, 0.0000, 0.3648).

The density of states at the Fermi level comes out at 13.9 states/eV per cell.

Taking the most stable structure as the zero point, the relative energies in meV per atom are *A* 315; *B* 0.

*A*
LaMnIn2Au after structural relaxation. Source: Alexandria, functional PBE.

The structure belongs to space group P4/mmm (No. 123); the cell edges are 5.075, 5.075 and 4.950 Å and the angles 90.00°, 90.00° and 90.00°. The distinct sites, in fractional coordinates, are La at (0.000, 0.000, 0.000), Mn at (0.000, 0.000, 0.500), In at (0.000, 0.500, 0.500) and Au at (0.500, 0.500, 0.000).

The density of states at the Fermi level comes out at 3.3 states/eV per cell.

*B*
LaMnIn2Au after structural relaxation. Source: Alexandria, functional PBE.

The structure belongs to space group P4/mmm (No. 123); the cell edges are 6.131, 6.131 and 5.488 Å and the angles 90.00°, 90.00° and 90.00°. The distinct sites, in fractional coordinates, are La at (0.000, 0.000, 0.000), Mn at (0.500, 0.500, 0.500), In at (0.000, 0.500, 0.000) and Au at (0.000, 0.000, 0.500).

The density of states at the Fermi level comes out at 6.8 states/eV per cell.

Taking the most stable structure as the zero point, the relative energies in meV per atom are *A* 0; *B* 1010.

*A*
LaPrInAu after structural relaxation. Source: Alexandria, functional PBE.

The structure belongs to space group P4mm (No. 99); the cell edges are 3.758, 3.758 and 8.076 Å and the angles 90.00°, 90.00° and 90.00°. The distinct sites, in fractional coordinates, are La at (0.000, 0.000, 0.000), Pr at (0.000, 0.000, 0.536), In at (0.500, 0.500, 0.271) and Au at (0.500, 0.500, 0.760).

The density of states at the Fermi level comes out at 4.1 states/eV per cell.

*B*
LaPrInAu after structural relaxation. Source: Alexandria, functional PBE.

The structure belongs to space group F-43m (No. 216); the cell edges are 7.728, 7.728 and 7.728 Å and the angles 90.00°, 90.00° and 90.00°. The distinct sites, in fractional coordinates, are La at (0.000, 0.000, 0.000), Pr at (0.000, 0.000, 0.500), In at (0.250, 0.250, 0.750) and Au at (0.250, 0.250, 0.250).

The density of states at the Fermi level comes out at 18.6 states/eV per cell.

Taking the most stable structure as the zero point, the relative energies in meV per atom are *A* 0; *B* 57.

*A*
LaSmInAu after structural relaxation. Source: Alexandria, functional PBE.

The structure belongs to space group P4mm (No. 99); the cell edges are 3.725, 3.725 and 8.001 Å and the angles 90.00°, 90.00° and 90.00°. The distinct sites, in fractional coordinates, are La at (0.000, 0.000, 0.000), Sm at (0.000, 0.000, 0.536), In at (0.500, 0.500, 0.276) and Au at (0.500, 0.500, 0.742).

The density of states at the Fermi level comes out at 3.4 states/eV per cell.

*B*
LaSmInAu after structural relaxation. Source: Alexandria, functional PBE.

The structure belongs to space group F-43m (No. 216); the cell edges are 7.661, 7.661 and 7.661 Å and the angles 90.00°, 90.00° and 90.00°. The distinct sites, in fractional coordinates, are La at (0.000, 0.000, 0.000), Sm at (0.000, 0.000, 0.500), In at (0.250, 0.250, 0.250) and Au at (0.250, 0.250, 0.750).

The density of states at the Fermi level comes out at 17.5 states/eV per cell.

Taking the most stable structure as the zero point, the relative energies in meV per atom are *A* 0; *B* 70.